# 1
## UGeRu (GGA-PBE)

Data for a geometry-optimized UGeRu structure.

POSCAR file:
```
UGeRu
1.0
4.347 0.000 -0.858
-0.509 7.243 -2.580
-0.183 -0.368 10.512
U Ge Ru
6 6 6
direct
0.500 0.962 0.000
0.334 0.875 0.668
0.825 0.283 0.650
0.175 0.633 0.350
0.000 0.519 0.000
0.666 0.207 0.332
0.777 0.606 0.554
0.930 0.092 0.860
0.401 0.560 0.802
0.599 0.758 0.198
0.223 0.053 0.446
0.070 0.233 0.140
0.584 0.410 0.169
0.083 0.908 0.165
0.255 0.416 0.511
0.745 0.905 0.489
0.416 0.241 0.831
0.917 0.743 0.835
```

Values from the calculation:
The magnetization is 1.00 μB/f.u. Its raw total energy is -8.810 eV per atom. For the calculated volume, the calculation gives 18.09 Å³/atom.

# 2
## Pr6PS12 (GGA-PBE)

Data for a geometry-optimized Pr6PS12 structure.

POSCAR file:
```
Pr6PS12
1.0
-1.168 -2.472 7.463
2.762 -6.802 -3.046
6.958 3.685 1.084
Pr S P
6 12 1
direct
0.367 0.700 0.862
0.300 0.138 0.633
0.862 0.367 0.700
0.138 0.633 0.300
0.700 0.862 0.367
0.633 0.300 0.138
0.052 0.981 0.293
0.558 0.415 0.822
0.822 0.558 0.415
0.442 0.585 0.178
0.178 0.442 0.585
0.585 0.178 0.442
0.948 0.019 0.707
0.293 0.052 0.981
0.707 0.948 0.019
0.981 0.293 0.052
0.415 0.822 0.558
0.019 0.707 0.948
0.000 0.000 0.000
```

Values from the calculation:
The magnetization is 0.00 μB/f.u. Its raw total energy is -5.911 eV per atom. Its uncorrected formation energy is -1.51 eV per atom. For the calculated volume, the calculation gives 25.50 Å³/atom.

# 3
## MnMoBr3 (GGA-PBE)

Data for a geometry-optimized MnMoBr3 structure.

POSCAR file:
```
MnMoBr3
1.0
-4.732 2.456 0.676
-2.528 -4.353 -1.881
-0.312 -1.974 4.988
Mo Br Mn
1 3 1
direct
0.000 0.000 0.000
0.500 0.000 0.000
0.000 0.000 0.500
0.000 0.500 0.000
0.500 0.500 0.500
```

Values from the calculation:
The magnetization is 9.63 μB/f.u. Its raw total energy is -4.633 eV per atom. Its uncorrected formation energy is 0.37 eV per atom. For the calculated volume, the calculation gives 31.04 Å³/atom.

# 4
## KBa2Fe (GGA-PBE)

Data for a geometry-optimized KBa2Fe structure.

POSCAR file:
```
KBa2Fe
1.0
6.207 0.000 0.000
3.104 5.376 0.000
3.104 1.792 5.068
Fe K Ba
1 1 2
direct
0.500 0.500 0.500
0.750 0.750 0.750
0.000 0.000 0.000
0.250 0.250 0.250
```

Values from the calculation:
The distance to the lowest polymorph of the same formula comes out at 32.6 kJ/mol of atoms. The magnetization is 2.95 μB/f.u. Its raw total energy is -2.570 eV per atom. For the calculated volume, the calculation gives 42.28 Å³/atom.

# 5
## LaMnCo2 (GGA-PBE)

Data for a geometry-optimized LaMnCo2 structure.

POSCAR file:
```
LaMnCo2
1.0
3.084 0.000 0.000
0.000 3.082 0.000
0.000 0.000 7.139
La Co Mn
1 2 1
direct
0.000 0.000 0.482
0.500 0.500 0.174
0.000 0.000 0.015
0.500 0.500 0.828
```

Values from the calculation:
The magnetization is 6.69 μB/f.u. Its raw total energy is -6.815 eV per atom. For the calculated volume, the calculation gives 16.96 Å³/atom.

# 6
## MgSc3 (GGA-PBE)

Data for a geometry-optimized MgSc3 structure.

POSCAR file:
```
MgSc3
1.0
6.116 0.000 0.000
-2.805 5.435 0.000
-2.805 -4.604 2.889
Sc Mg
3 1
direct
0.000 0.500 0.500
0.500 0.000 0.500
0.500 0.500 0.000
0.000 0.000 0.000
```

Values from the calculation:
The distance to the lowest polymorph of the same formula comes out at 8.0 kJ/mol of atoms. The magnetization is 0.00 μB/f.u. Its raw total energy is -5.075 eV per atom. For the calculated volume, the calculation gives 24.01 Å³/atom.

# 7
## Sc2AsCl (GGA-PBE)

Data for a geometry-optimized Sc2AsCl structure.

POSCAR file:
```
Sc2AsCl
1.0
10.374 0.042 0.025
9.826 3.329 0.025
9.826 1.640 2.897
Sc As Cl
2 1 1
direct
0.252 0.252 0.252
0.005 0.005 0.005
0.517 0.517 0.517
0.726 0.726 0.726
```

Values from the calculation:
The magnetization is 1.64 μB/f.u. Its raw total energy is -5.538 eV per atom. Its uncorrected formation energy is -0.75 eV per atom. For the calculated volume, the calculation gives 24.51 Å³/atom.

# 8
## Ru2Pb (GGA-PBE)

Data for a geometry-optimized Ru2Pb structure.

POSCAR file:
```
Ru2Pb
1.0
-3.734 2.982 -5.505
1.842 -1.107 6.966
3.239 3.501 -0.300
Ru Pb
4 2
direct
0.950 0.050 0.750
0.707 0.293 0.250
0.293 0.707 0.750
0.050 0.950 0.250
0.617 0.383 0.750
0.383 0.617 0.250
```

Values from the calculation:
The distance to the lowest polymorph of the same formula comes out at 20.7 kJ/mol of atoms. The magnetization is 0.00 μB/f.u. Its raw total energy is -6.795 eV per atom. For the calculated volume, the calculation gives 17.26 Å³/atom.

# 9
## Ac2Tb7Dy2 (GGA-PBE)

Data for a geometry-optimized Ac2Tb7Dy2 structure.

POSCAR file:
```
Ac2Tb7Dy2
1.0
3.538 -0.332 -0.961
-1.299 10.668 1.028
0.520 3.309 10.263
Tb Dy Ac
7 2 2
direct
0.852 0.100 0.568
0.538 0.405 0.405
0.148 0.432 0.900
0.000 0.000 0.000
0.462 0.595 0.595
0.148 0.900 0.432
0.852 0.568 0.100
0.500 0.754 0.246
0.500 0.246 0.754
0.719 0.197 0.197
0.281 0.803 0.803
```

Values from the calculation:
The magnetization is 0.00 μB/f.u. Its raw total energy is -4.397 eV per atom. For the calculated volume, the calculation gives 34.56 Å³/atom.

# 10
## Na2Sc2Cl7 (GGA-PBE)

Data for a geometry-optimized Na2Sc2Cl7 structure.

POSCAR file:
```
Na2Sc2Cl7
1.0
-2.574 5.992 0.918
-4.149 -2.353 4.951
3.110 0.589 6.103
Cl Na Sc
7 2 2
direct
0.762 0.081 0.519
0.228 0.420 0.420
0.238 0.481 0.919
0.762 0.519 0.081
0.772 0.580 0.580
0.000 0.000 0.000
0.238 0.919 0.481
0.500 0.278 0.722
0.500 0.722 0.278
0.961 0.764 0.764
0.039 0.236 0.236
```

Values from the calculation:
The distance to the lowest polymorph of the same formula comes out at 6.4 kJ/mol of atoms. The magnetization is 1.04 μB/f.u. Its raw total energy is -4.385 eV per atom. Its uncorrected formation energy is -1.82 eV per atom. For the calculated volume, the calculation gives 26.63 Å³/atom.